A plane-wave DFT calculation with GGA-PBE was carried out for crystalline Th7Ag2Hg3 at its relaxed geometry.

Computed properties:
total energy	-4.721	eV per atom
formation enthalpy at 0 K	0.158	eV per atom

a b c (Å): 12.307 12.307 5.530
angles (deg): 90.00 90.00 153.86
Fractional coordinates of all 12 atoms:
Th1 0.000 0.000 0.000
Th2 0.087 0.913 0.500
Th3 0.284 0.716 0.000
Th4 0.424 0.576 0.000
Th5 0.576 0.424 0.000
Th6 0.716 0.284 0.000
Th7 0.913 0.087 0.500
Ag1 0.152 0.848 0.000
Ag2 0.848 0.152 0.000
Hg1 0.344 0.656 0.500
Hg2 0.500 0.500 0.500
Hg3 0.656 0.344 0.500